# 1
! Tl2ReC, relaxed, DFT GGA-PBE; values from VASP
! Calculated total energy, eV/atom: -4.53
&SYSTEM
  ibrav = 0, nat = 8, ntyp = 3
/
ATOMIC_SPECIES
Re 186.21 Re.upf
C 12.01 C.upf
Tl 204.38 Tl.upf
CELL_PARAMETERS angstrom
-2.5001 5.0629 4.2537
-6.5003 -2.7164 -0.5873
-3.9862 -0.5710 4.2114
ATOMIC_POSITIONS angstrom
Re -5.4932 2.8326 5.1492
Re 0.0000 0.0000 0.0000
C -4.5002 1.1733 1.8332
Tl -10.5170 1.7704 6.3981
Tl -6.7128 0.3063 4.5020
Tl -5.5056 -0.9366 1.4452
C -7.4933 -1.0571 2.7286
Tl -3.2378 2.4110 3.4103


# 2
! TlRe3C, relaxed, DFT GGA-PBE; values from VASP
! Calculated total energy, eV/atom: -5.00
&SYSTEM
  ibrav = 0, nat = 5, ntyp = 3
/
ATOMIC_SPECIES
Tl 204.38 Tl.upf
Re 186.21 Re.upf
C 12.01 C.upf
CELL_PARAMETERS angstrom
-1.8913 2.0735 4.0513
3.5201 -2.1144 2.7255
2.8848 3.9395 -0.6696
ATOMIC_POSITIONS angstrom
Tl 0.0000 0.0000 0.0000
Re 1.4424 1.9697 -0.3348
Re 1.7600 -1.0572 1.3627
C 2.2568 1.9493 3.0536
Re -0.9457 1.0368 2.0257


- calculated total energy of number 2 (TlRe3C)?
  -5.00 eV/atom